Entry from Alexandria: TbPuHgPb after structural relaxation (PBE-GGA).

The value obtained for the formation energy is -0.2894 eV per atom. As for the total moment: 6.75 μB/f.u. Its energy is -6.032 eV per atom. The density of states at the Fermi level comes out at 42.45 states/eV per cell.

Unit cell a=7.616 b=7.616 c=7.616 alpha=90.00 beta=90.00 gamma=90.00
Space group F-43m (No. 216)
Asymmetric unit:
1 Tb 0.000 0.000 0.000
2 Pu 0.000 0.000 0.500
3 Hg 0.250 0.250 0.750
4 Pb 0.250 0.250 0.250